# YSc2TlS, relaxed, DFT GGA-PBE
# Total DFT energy (no corrections), eV per atom: -5.965
# Total magnetic moment, μB/f.u.: 0.0
# Energy above the most stable polymorph in this dataset, eV per formula unit: 0.00
# ΔE_f (raw), meV per atom: -840
data_YSc2TlS
_space_group_name_H-M_alt 'P 1'
_space_group_IT_number 1
_space_group_name_Hall 'P 1'
_cell_length_a 4.8515
_cell_length_b 4.8515
_cell_length_c 5.1503
_cell_angle_alpha 90.00
_cell_angle_beta 90.00
_cell_angle_gamma 90.00
loop_
_atom_site_label
_atom_site_type_symbol
_atom_site_fract_x
_atom_site_fract_y
_atom_site_fract_z
Y1 Y 0.0000 0.0000 0.0000
Sc1 Sc 0.0000 0.5000 0.5000
Sc2 Sc 0.5000 0.0000 0.5000
Tl1 Tl 0.5000 0.5000 0.0000
S1 S 0.0000 0.0000 0.5000



# SbIN, relaxed, DFT GGA-PBE
# Total DFT energy (no corrections), eV per atom: -3.445
# Total magnetic moment, μB/f.u.: 0.0
# Energy above the most stable polymorph in this dataset, eV per formula unit: 2.42
# ΔE_f (raw), meV per atom: 1221
data_SbIN
_space_group_name_H-M_alt 'P 1'
_space_group_IT_number 1
_space_group_name_Hall 'P 1'
_cell_length_a 3.9691
_cell_length_b 4.0592
_cell_length_c 12.5908
_cell_angle_alpha 83.05
_cell_angle_beta 82.64
_cell_angle_gamma 61.57
loop_
_atom_site_label
_atom_site_type_symbol
_atom_site_fract_x
_atom_site_fract_y
_atom_site_fract_z
Sb1 Sb 0.1469 0.1554 0.0671
Sb2 Sb 0.8531 0.8446 0.9329
I1 I 0.3925 0.4166 0.3344
I2 I 0.6075 0.5834 0.6656
N1 N 0.3261 0.3210 0.6341
N2 N 0.6739 0.6790 0.3659



# ZnCr2Ag, relaxed, DFT GGA-PBE
# Total DFT energy (no corrections), eV per atom: -5.633
# Total magnetic moment, μB/f.u.: 0.4
# Formation enthalpy at 0 K, kcal/mol of atoms: 4.85
data_ZnCr2Ag
_space_group_name_H-M_alt 'P 1'
_space_group_IT_number 1
_space_group_name_Hall 'P 1'
_cell_length_a 3.0235
_cell_length_b 3.0235
_cell_length_c 6.3840
_cell_angle_alpha 90.00
_cell_angle_beta 90.00
_cell_angle_gamma 90.00
loop_
_atom_site_label
_atom_site_type_symbol
_atom_site_fract_x
_atom_site_fract_y
_atom_site_fract_z
Zn1 Zn 0.0000 0.0000 0.0000
Cr1 Cr 0.0000 0.0000 0.4320
Cr2 Cr 0.5000 0.5000 0.2577
Ag1 Ag 0.5000 0.5000 0.7352



# SrAcPd10, relaxed, DFT GGA-PBE
# Total DFT energy (no corrections), eV per atom: -5.284
# Total magnetic moment, μB/f.u.: 0.0
# Formation enthalpy at 0 K, kcal/mol of atoms: -10.94
data_SrAcPd10
_space_group_name_H-M_alt 'P 1'
_space_group_IT_number 1
_space_group_name_Hall 'P 1'
_cell_length_a 4.4787
_cell_length_b 5.4637
_cell_length_c 9.4716
_cell_angle_alpha 90.00
_cell_angle_beta 90.00
_cell_angle_gamma 90.00
loop_
_atom_site_label
_atom_site_type_symbol
_atom_site_fract_x
_atom_site_fract_y
_atom_site_fract_z
Sr1 Sr 0.0000 0.0000 0.0000
Ac1 Ac 0.0000 0.5000 0.5000
Pd1 Pd 0.0000 0.0000 0.3334
Pd2 Pd 0.0000 0.0000 0.6666
Pd3 Pd 0.0000 0.5000 0.1670
Pd4 Pd 0.0000 0.5000 0.8330
Pd5 Pd 0.5000 0.0000 0.5000
Pd6 Pd 0.5000 0.2510 0.2510
Pd7 Pd 0.5000 0.2510 0.7490
Pd8 Pd 0.5000 0.5000 0.0000
Pd9 Pd 0.5000 0.7490 0.2510
Pd10 Pd 0.5000 0.7490 0.7490



# K2BeSe2, relaxed, DFT GGA-PBE
# Total DFT energy (no corrections), eV per atom: -2.425
# Total magnetic moment, μB/f.u.: 0.0
# Energy above the most stable polymorph in this dataset, eV per formula unit: 6.05
# ΔE_f (raw), meV per atom: 153
data_K2BeSe2
_space_group_name_H-M_alt 'P 1'
_space_group_IT_number 1
_space_group_name_Hall 'P 1'
_cell_length_a 4.0298
_cell_length_b 4.0298
_cell_length_c 19.6876
_cell_angle_alpha 90.00
_cell_angle_beta 90.00
_cell_angle_gamma 90.00
loop_
_atom_site_label
_atom_site_type_symbol
_atom_site_fract_x
_atom_site_fract_y
_atom_site_fract_z
K1 K 0.0000 0.0000 0.1154
K2 K 0.0000 0.0000 0.8846
K3 K 0.5000 0.5000 0.3846
K4 K 0.5000 0.5000 0.6154
Be1 Be 0.0000 0.0000 0.5000
Be2 Be 0.5000 0.5000 0.0000
Se1 Se 0.0000 0.5000 0.2500
Se2 Se 0.0000 0.5000 0.7500
Se3 Se 0.5000 0.0000 0.2500
Se4 Se 0.5000 0.0000 0.7500



# Ac2ErSn2, relaxed, DFT GGA-PBE
# Total DFT energy (no corrections), eV per atom: -4.800
# Total magnetic moment, μB/f.u.: 0.0
# Formation enthalpy at 0 K, kcal/mol of atoms: -14.82
# Energy above the most stable polymorph in this dataset, eV per formula unit: 0.00
data_Ac2ErSn2
_space_group_name_H-M_alt 'P 1'
_space_group_IT_number 1
_space_group_name_Hall 'P 1'
_cell_length_a 4.8215
_cell_length_b 6.9744
_cell_length_c 10.2870
_cell_angle_alpha 90.00
_cell_angle_beta 90.00
_cell_angle_gamma 90.00
loop_
_atom_site_label
_atom_site_type_symbol
_atom_site_fract_x
_atom_site_fract_y
_atom_site_fract_z
Ac1 Ac 0.0000 0.0000 0.2028
Ac2 Ac 0.0000 0.0000 0.7972
Ac3 Ac 0.5000 0.5000 0.2972
Ac4 Ac 0.5000 0.5000 0.7028
Er1 Er 0.0000 0.5000 0.0000
Er2 Er 0.5000 0.0000 0.5000
Sn1 Sn 0.0000 0.2787 0.5000
Sn2 Sn 0.0000 0.7213 0.5000
Sn3 Sn 0.5000 0.2213 0.0000
Sn4 Sn 0.5000 0.7787 0.0000



# CaRe2Cl, relaxed, DFT GGA-PBE
# Total DFT energy (no corrections), eV per atom: -7.278
# Total magnetic moment, μB/f.u.: 0.0
# Energy above the most stable polymorph in this dataset, eV per formula unit: 0.17
# ΔE_f (raw), meV per atom: -92
data_CaRe2Cl
_space_group_name_H-M_alt 'P 1'
_space_group_IT_number 1
_space_group_name_Hall 'P 1'
_cell_length_a 3.1497
_cell_length_b 3.1497
_cell_length_c 8.6686
_cell_angle_alpha 90.00
_cell_angle_beta 90.00
_cell_angle_gamma 90.00
loop_
_atom_site_label
_atom_site_type_symbol
_atom_site_fract_x
_atom_site_fract_y
_atom_site_fract_z
Ca1 Ca 0.0000 0.0000 0.0000
Re1 Re 0.0000 0.0000 0.5793
Re2 Re 0.5000 0.5000 0.7219
Cl1 Cl 0.5000 0.5000 0.1906



# Ac4Pd2F, relaxed, DFT GGA-PBE
# Total DFT energy (no corrections), eV per atom: -5.123
# Total magnetic moment, μB/f.u.: 0.0
# ΔE_f (raw), meV per atom: -1025
data_Ac4Pd2F
_space_group_name_H-M_alt 'P 1'
_space_group_IT_number 1
_space_group_name_Hall 'P 1'
_cell_length_a 5.2945
_cell_length_b 5.2945
_cell_length_c 15.4882
_cell_angle_alpha 90.00
_cell_angle_beta 90.00
_cell_angle_gamma 90.00
loop_
_atom_site_label
_atom_site_type_symbol
_atom_site_fract_x
_atom_site_fract_y
_atom_site_fract_z
Ac1 Ac 0.0000 0.0000 0.1999
Ac2 Ac 0.0000 0.0000 0.8001
Ac3 Ac 0.0000 0.5000 0.0000
Ac4 Ac 0.0000 0.5000 0.5000
Ac5 Ac 0.5000 0.0000 0.0000
Ac6 Ac 0.5000 0.0000 0.5000
Ac7 Ac 0.5000 0.5000 0.3001
Ac8 Ac 0.5000 0.5000 0.6999
Pd1 Pd 0.0000 0.0000 0.3881
Pd2 Pd 0.0000 0.0000 0.6119
Pd3 Pd 0.5000 0.5000 0.1119
Pd4 Pd 0.5000 0.5000 0.8881
F1 F 0.0000 0.0000 0.0000
F2 F 0.5000 0.5000 0.5000